# KNiH9C2O10 GGA+U relaxed
data_KNiH9C2O10
_symmetry_space_group_name_H-M 'P -1'
_symmetry_Int_Tables_number 2
_symmetry_space_group_name_Hall '-P 1'
_cell_length_a 5.902
_cell_length_b 6.257
_cell_length_c 7.702
_cell_angle_alpha 110.63
_cell_angle_beta 104.39
_cell_angle_gamma 91.88
loop_
_atom_site_label
_atom_site_type_symbol
_atom_site_fract_x
_atom_site_fract_y
_atom_site_fract_z
K1 K 0.000 0.000 0.000
Ni1 Ni 0.000 0.000 0.500
H1 H 0.255 0.785 0.652
H2 H 0.405 0.655 0.152
H3 H 0.452 0.104 0.808
H4 H 0.471 0.675 0.898
H5 H 0.500 0.500 0.500
C1 C 0.018 0.299 0.670
O1 O 0.014 0.470 0.789
O2 O 0.201 0.941 0.700
O3 O 0.377 0.535 0.612
O4 O 0.398 0.787 0.108
O5 O 0.441 0.398 0.200
# Calculated total energy, eV/atom: -5.19
# Crystal system: triclinic
# Relative energy among the computed polymorphs, kcal/mol of atoms: 11.09
# D(E_F), states/eV per cell: 0.000
# Size of the total moment, Bohr magnetons per cell: 0.0